Record 1
Below is Pa2ReBi after structural relaxation, with properties calculated at the PBE level.

Computed properties:
Raw total energy   -8.99 eV/atom
M_tot   0.000 Bohr magnetons per cell
Polymorph energy (0 for the lowest one)   0 meV/atom
Symmetry   No. 123
ΔE_f   -0.163 eV/atom

a b c (Å): 3.2884 3.2884 8.8431
angles (deg): 90.00 90.00 90.00
Atoms (fractional coordinates):
Re  0.5000  0.5000  0.0000
Pa  0.0000  0.0000  0.7920
Pa  0.0000  0.0000  0.2080
Bi  0.5000  0.5000  0.5000

---

Record 2
Below is Pa2ReBi after structural relaxation, with properties calculated at the PBE level.

Computed properties:
Raw total energy   -8.72 eV/atom
M_tot   0.000 Bohr magnetons per cell
Polymorph energy (0 for the lowest one)   275 meV/atom
Symmetry   No. 166
ΔE_f   0.112 eV/atom

a b c (Å): 3.2468 3.2468 10.5263
angles (deg): 81.13 81.13 60.00
Atoms (fractional coordinates):
Re  0.0000  0.0000  0.0000
Pa  0.7387  0.7387  0.7839
Pa  0.2613  0.2613  0.2161
Bi  0.5000  0.5000  0.5000

---

Record 3
Below is Pa2BiRh after structural relaxation, with properties calculated at the PBE level.

Computed properties:
Raw total energy   -7.48 eV/atom
M_tot   0.001 Bohr magnetons per cell
Polymorph energy (0 for the lowest one)   351 meV/atom
Symmetry   No. 166
ΔE_f   0.072 eV/atom

a b c (Å): 3.2749 3.2749 10.8833
angles (deg): 81.35 81.35 60.00
Atoms (fractional coordinates):
Pa  0.0775  0.0775  0.7674
Pa  0.9225  0.9225  0.2326
Rh  0.0000  0.0000  0.0000
Bi  0.5000  0.5000  0.5000